Compound: K2CaHfMg
Source: Alexandria via LeMat-Bulk
Functional: PBEsol
Structure: relaxed

It has space group P4/mmm (No. 123), with a = 6.469 Å, b = 6.469 Å, c = 6.140 Å, α = 90.00°, β = 90.00° and γ = 90.00°. The distinct sites, in fractional coordinates, are K at (0.000, 0.500, 0.000), Ca at (0.000, 0.000, 0.500), Hf at (0.000, 0.000, 0.000) and Mg at (0.500, 0.500, 0.500).

The size of the total moment comes out at 4.38 μB/cell. The total energy is -2.05 eV/atom. The value obtained for the formation enthalpy at 0 K is 1276 meV per atom.